Entry 1:
VASP calculation (GGA-PBEsol) on a relaxed NaCuGe3 crystal.

Cell lengths 4.8778, 4.8778, 4.8778 Å; angles 90.00, 90.00, 90.00 degrees
Atoms (fractional coordinates):
1 Ge 0.5000 0.0000 0.0000
2 Na 0.0000 0.0000 0.0000
3 Cu 0.5000 0.5000 0.5000
4 Ge 0.0000 0.0000 0.5000
5 Ge 0.0000 0.5000 0.0000

Results
total energy	-2.77	eV per atom
E_form	1.342	eV/atom
magnetic moment	0.0001	μB/atom

=====

Entry 2:
VASP calculation (GGA-PBEsol) on a relaxed Na2CuGe2 crystal.

Cell lengths 4.8910, 6.2830, 6.2830 Å; angles 90.00, 90.00, 90.00 degrees
Atoms (fractional coordinates):
1 Ge 0.0000 0.6393 0.1393
2 Ge 0.0000 0.1393 0.3607
3 Na 0.5000 0.1742 0.6742
4 Na 0.5000 0.8258 0.3258
5 Cu 0.0000 0.0000 0.0000
6 Ge 0.0000 0.3607 0.8607
7 Na 0.5000 0.6742 0.8258
8 Na 0.5000 0.3258 0.1742
9 Ge 0.0000 0.8607 0.6393
10 Cu 0.0000 0.5000 0.5000

Results
total energy	-3.44	eV per atom
E_form	-0.039	eV/atom
magnetic moment	0.0000	μB/atom